[1]
OsC | PBE | optimized geometry

The structure belongs to space group P4/m (No. 83); the cell edges are 8.347, 8.347 and 3.456 Å and the angles 90.00°, 90.00° and 90.00°. The distinct sites, in fractional coordinates, are Os at (0.096, 0.633, 0.000), Os at (0.162, 0.289, 0.500), C at (0.073, 0.754, 0.500) and C at (0.176, 0.411, 0.000).

As for the volume: 240.7 Å³ per cell. The energy of formation from the pure elements is 882 meV/atom.



[2]
Os2C3 | PBE | optimized geometry

The structure belongs to space group R-3m (No. 166, hexagonal axes); the cell edges are 3.0398, 3.0398 and 25.5669 Å and the angles 90.00°, 90.00° and 120.00°. The distinct sites, in fractional coordinates, are Os at (0.0000, 0.0000, 0.1048), C at (0.0000, 0.0000, 0.2610) and C at (0.0000, 0.0000, 0.5000).

As for the volume: 204.6 Å³ per cell. The energy of formation from the pure elements is 1515 meV/atom.



[3]
OsC3 | PBE | optimized geometry

The structure belongs to space group Pm-3m (No. 221); the cell edges are 3.258, 3.258 and 3.258 Å and the angles 90.00°, 90.00° and 90.00°. The distinct sites, in fractional coordinates, are Os at (0.000, 0.000, 0.000) and C at (0.000, 0.500, 0.500).

As for the volume: 34.6 Å³ per cell. The energy of formation from the pure elements is 3154 meV/atom.



[4]
OsC3 | PBE | optimized geometry

The structure belongs to space group P-6m2 (No. 187); the cell edges are 2.6740, 2.6740 and 5.4270 Å and the angles 90.00°, 90.00° and 120.00°. The distinct sites, in fractional coordinates, are Os at (0.0000, 0.0000, 0.0000), C at (0.0000, 0.0000, 0.5000) and C at (0.3333, 0.6667, 0.3021).

As for the volume: 33.6 Å³ per cell. The energy of formation from the pure elements is 2434 meV/atom.



[5]
Os3C | PBE | optimized geometry

The structure belongs to space group P6_3/mmc (No. 194); the cell edges are 6.7673, 6.7673 and 2.7155 Å and the angles 90.00°, 90.00° and 120.00°. The distinct sites, in fractional coordinates, are Os at (0.1922, 0.3845, 0.2500) and C at (0.3333, 0.6667, 0.7500).

As for the volume: 107.7 Å³ per cell. The energy of formation from the pure elements is 674 meV/atom.



[6]
OsC | PBE | optimized geometry

The structure belongs to space group Pnma (No. 62); the cell edges are 5.563, 2.861 and 5.361 Å and the angles 90.00°, 90.00° and 90.00°. The distinct sites, in fractional coordinates, are Os at (0.054, 0.250, 0.233) and C at (0.247, 0.750, 0.420).

As for the volume: 85.3 Å³ per cell. The energy of formation from the pure elements is 848 meV/atom.



[7]
OsC4 | PBE | optimized geometry

The structure belongs to space group I4/mmm (No. 139); the cell edges are 5.196, 5.196 and 7.493 Å and the angles 90.00°, 90.00° and 90.00°. The distinct sites, in fractional coordinates, are Os at (0.000, 0.000, 0.000) and C at (0.000, 0.376, 0.000).

As for the volume: 202.3 Å³ per cell. The energy of formation from the pure elements is 1751 meV/atom.



[8]
Os3C | PBE | optimized geometry

The structure belongs to space group R-3m (No. 166, hexagonal axes); the cell edges are 8.1575, 8.1575 and 2.8059 Å and the angles 90.00°, 90.00° and 120.00°. The distinct sites, in fractional coordinates, are Os at (0.0000, 0.5000, 0.0000) and C at (0.0000, 0.0000, 0.0000).

As for the volume: 161.7 Å³ per cell. The energy of formation from the pure elements is 1819 meV/atom.



Q: Which value of energy of formation from the pure elements does entry 8 give?
A: 1819 meV/atom



Q: Which value of volume does entry 2 give?
A: 204.6 Å³ per cell



Q: Which formula does entry 8 have?
A: Os3C